*a*
Computed, not measured: crystalline K2ReH at its relaxed geometry at the PBE-GGA level of DFT.

Output
Theoretical density in g/cm³: 3.5
Total moment in μB per cell: 8.83

abc: 11.9195 11.9195 3.4971
angles: 90.00 90.00 90.00
Last column: nearest neighbours and their distance in Å.
Space group I-42d (No. 122)
Asymmetric unit:
K: 0.0638 0.2500 0.1250 (multiplicity 8)  2 H 3.11, 2 Re 3.34
Re: 0.0000 0.0000 0.5000 (multiplicity 4)  2 H 1.75
H: 0.0000 0.0000 0.0000 (multiplicity 4)  2 Re 1.75

***

*b*
Computed, not measured: crystalline K2ReH at its relaxed geometry at the PBE-GGA level of DFT.

Output
Theoretical density in g/cm³: 3.4
Total moment in μB per cell: 16.01

abc: 8.0283 8.0283 8.0283
angles: 90.00 90.00 90.00
Last column: nearest neighbours and their distance in Å.
Space group Fm-3m (No. 225)
Asymmetric unit:
K: 0.2500 0.2500 0.2500 (multiplicity 8)  4 H 3.48, 4 Re 3.48
Re: 0.0000 0.0000 0.0000 (multiplicity 4)  8 K 3.48
H: 0.0000 0.0000 0.5000 (multiplicity 4)  8 K 3.48

***

Stability summary - winner: *a*; margin: 577 meV per atom.